1.
This record from Alexandria via LeMat-Bulk describes a geometry-optimized YSeN2Cl structure. The functional is PBE-GGA.

Properties
**Crystal system**: tetragonal
**Offset from the most stable computed form**: 238 meV per atom
**ΔE_f (raw)**: 5.4 eV/f.u.
**DFT total energy**: -23.02 eV/cell

abc: 4.116 4.116 4.780
angles: 90.00 90.00 90.00
Each line ends with the local moment (μB).
Positions (direct):
Se1 0.000 0.000 0.500  0.06
N1 0.500 0.000 0.000  0.27
N2 0.000 0.500 0.000  0.27
Cl1 0.000 0.000 0.000  0.01
Y1 0.500 0.500 0.500  -0.01


2.
This record from Alexandria via LeMat-Bulk describes a geometry-optimized YSeN2Cl structure. The functional is PBE-GGA.

Properties
**Crystal system**: tetragonal
**Offset from the most stable computed form**: 0 meV per atom
**ΔE_f (raw)**: 4.2 eV/f.u.
**DFT total energy**: -24.21 eV/cell

abc: 4.575 4.575 5.894
angles: 90.00 90.00 90.00
Each line ends with the local moment (μB).
Positions (direct):
N1 0.500 0.000 0.000  1.22
N2 0.000 0.500 0.000  1.22
Cl1 0.500 0.500 0.500  0.06
Y1 0.000 0.000 0.000  0.04
Se1 0.000 0.000 0.500  0.11


3.
This record from Alexandria via LeMat-Bulk describes a geometry-optimized ZnSe2NCl structure. The functional is PBE-GGA.

Properties
**Crystal system**: tetragonal
**Offset from the most stable computed form**: 323 meV per atom
**ΔE_f (raw)**: 7.1 eV/f.u.
**DFT total energy**: -11.32 eV/cell

abc: 5.363 5.363 3.383
angles: 90.00 90.00 90.00
Positions (direct):
Cl1 0.000 0.000 0.000
Se1 0.000 0.500 0.000
Se2 0.500 0.000 0.000
N1 0.000 0.000 0.500
Zn1 0.500 0.500 0.500


4.
This record from Alexandria via LeMat-Bulk describes a geometry-optimized ZnSe2NCl structure. The functional is PBE-GGA.

Properties
**Crystal system**: tetragonal
**Offset from the most stable computed form**: 0 meV per atom
**ΔE_f (raw)**: 5.5 eV/f.u.
**DFT total energy**: -12.93 eV/cell

abc: 5.216 5.216 3.651
angles: 90.00 90.00 90.00
Each line ends with the local moment (μB).
Positions (direct):
N1 0.000 0.000 0.500  -0.01
Zn1 0.000 0.000 0.000  0.00
Se1 0.500 0.000 0.000  0.07
Se2 0.000 0.500 0.000  0.07
Cl1 0.500 0.500 0.500  0.03


Copy entry 4 word for word.
This record from Alexandria via LeMat-Bulk describes a geometry-optimized ZnSe2NCl structure. The functional is PBE-GGA.

Properties
**Crystal system**: tetragonal
**Offset from the most stable computed form**: 0 meV per atom
**ΔE_f (raw)**: 5.5 eV/f.u.
**DFT total energy**: -12.93 eV/cell

abc: 5.216 5.216 3.651
angles: 90.00 90.00 90.00
Each line ends with the local moment (μB).
Positions (direct):
N1 0.000 0.000 0.500  -0.01
Zn1 0.000 0.000 0.000  0.00
Se1 0.500 0.000 0.000  0.07
Se2 0.000 0.500 0.000  0.07
Cl1 0.500 0.500 0.500  0.03


Repeat the second record exactly.
This record from Alexandria via LeMat-Bulk describes a geometry-optimized YSeN2Cl structure. The functional is PBE-GGA.

Properties
**Crystal system**: tetragonal
**Offset from the most stable computed form**: 0 meV per atom
**ΔE_f (raw)**: 4.2 eV/f.u.
**DFT total energy**: -24.21 eV/cell

abc: 4.575 4.575 5.894
angles: 90.00 90.00 90.00
Each line ends with the local moment (μB).
Positions (direct):
N1 0.500 0.000 0.000  1.22
N2 0.000 0.500 0.000  1.22
Cl1 0.500 0.500 0.500  0.06
Y1 0.000 0.000 0.000  0.04
Se1 0.000 0.000 0.500  0.11


> Number 2 is which compound?

YSeN2Cl